Compound: La2TcIr
Source: the Alexandria database
Functional: PBE
Structure: relaxed

Calculated density (g/cm³): 11.1
Total energy (eV per cell): -28.54
Energy of formation from the pure elements (meV per atom): 136
Total moment (μB per atom): 0.324

Structure (POSCAR):
```
La2TcIr
1.0
0.0000 3.4918 3.4918
3.4918 0.0000 3.4918
3.4918 3.4918 0.0000
La Tc Ir
2 1 1
direct
0.0000 0.0000 0.0000 La
0.2500 0.2500 0.2500 La
0.7500 0.7500 0.7500 Tc
0.5000 0.5000 0.5000 Ir
```

=====

Compound: LaTc2Ir
Source: the Alexandria database
Functional: PBE
Structure: relaxed

Calculated density (g/cm³): 11.5
Total energy (eV per cell): -33.03
Energy of formation from the pure elements (meV per atom): 372
Total moment (μB per atom): 0.000

Structure (POSCAR):
```
LaTc2Ir
1.0
3.2489 0.0000 0.0000
0.0000 3.2489 0.0000
0.0000 0.0000 7.2163
La Tc Ir
1 2 1
direct
0.0000 0.0000 0.0000 La
0.5000 0.5000 0.3168 Tc
0.5000 0.5000 0.6832 Tc
0.0000 0.0000 0.5000 Ir
```

=====

Compound: La2TcIr2
Source: the Alexandria database
Functional: PBE
Structure: relaxed

Calculated density (g/cm³): 11.4
Total energy (eV per cell): -78.38
Energy of formation from the pure elements (meV per atom): -249
Total moment (μB per atom): 0.000

Structure (POSCAR):
```
La2TcIr2
1.0
6.8770 0.0000 0.0000
0.0000 6.8770 0.0000
0.0000 0.0000 4.6706
La Tc Ir
4 2 4
direct
0.1790 0.3210 0.0000 La
0.3210 0.8210 0.0000 La
0.6790 0.1790 0.0000 La
0.8210 0.6790 0.0000 La
0.0000 0.0000 0.5000 Tc
0.5000 0.5000 0.5000 Tc
0.1404 0.6404 0.5000 Ir
0.3596 0.1404 0.5000 Ir
0.6404 0.8596 0.5000 Ir
0.8596 0.3596 0.5000 Ir
```